Here is an optimized crystal structure of PIrO3 from Alexandria via LeMat-Bulk. Energies are from GGA-PBE.

Computed properties:
The uncorrected formation energy is 0.24 eV per atom. As for the calculated density: 7731 kg/m3. As for the calculated volume: 58 Å³/cell.

a b c (Å): 3.876 3.876 3.876
angles (deg): 90.00 90.00 90.00
Sites, in units of the cell vectors:
P 0.000 0.000 0.000
Ir 0.500 0.500 0.500
O 0.000 0.500 0.500
O 0.500 0.000 0.500
O 0.500 0.500 0.000

Here is an optimized crystal structure of Ti2CrNi2 from Alexandria via LeMat-Bulk. Energies are from GGA-PBE.

Computed properties:
As for the calculated density: 6512 kg/m3. As for the calculated volume: 135 Å³/cell. The polymorph energy (0 for the lowest one) comes out at 0.000 eV/atom. For the formation energy, the calculation gives -1.58 kcal/mol of atoms.

a b c (Å): 6.883 6.883 2.854
angles (deg): 90.00 90.00 90.00
Sites, in units of the cell vectors:
Ti 0.175 0.325 0.000
Ti 0.325 0.825 0.000
Ti 0.675 0.175 0.000
Ti 0.825 0.675 0.000
Cr 0.000 0.000 0.500
Cr 0.500 0.500 0.500
Ni 0.126 0.626 0.500
Ni 0.374 0.126 0.500
Ni 0.626 0.874 0.500
Ni 0.874 0.374 0.500

Here is an optimized crystal structure of LiLaInPb2 from Alexandria via LeMat-Bulk. Energies are from GGA-PBE.

Computed properties:
As for the calculated density: 5099 kg/m3. As for the calculated volume: 220 Å³/cell. For the formation energy, the calculation gives 14.39 kcal/mol of atoms.

a b c (Å): 6.095 6.095 5.918
angles (deg): 90.00 90.00 90.00
Sites, in units of the cell vectors:
Li 0.000 0.000 0.000
La 0.000 0.000 0.500
In 0.500 0.500 0.000
Pb 0.000 0.500 0.500
Pb 0.500 0.000 0.500

Here is an optimized crystal structure of Nd6Er from Alexandria via LeMat-Bulk. Energies are from GGA-PBE.

Computed properties:
As for the calculated density: 6888 kg/m3. As for the calculated volume: 498 Å³/cell. The polymorph energy (0 for the lowest one) comes out at 0.000 eV/atom. For the formation energy, the calculation gives 5.57 kcal/mol of atoms.

a b c (Å): 6.617 6.617 11.372
angles (deg): 90.00 90.00 90.00
Sites, in units of the cell vectors:
Nd 0.082 0.582 0.140
Nd 0.082 0.918 0.860
Nd 0.250 0.250 0.363
Nd 0.250 0.250 0.637
Nd 0.418 0.582 0.860
Nd 0.418 0.918 0.140
Nd 0.582 0.082 0.860
Nd 0.582 0.418 0.140
Nd 0.750 0.750 0.363
Nd 0.750 0.750 0.637
Nd 0.918 0.082 0.140
Nd 0.918 0.418 0.860
Er 0.250 0.750 0.500
Er 0.750 0.250 0.500

Here is an optimized crystal structure of TbNd2SmPt2 from Alexandria via LeMat-Bulk. Energies are from GGA-PBE.

Computed properties:
As for the calculated density: 9713 kg/m3. As for the calculated volume: 338 Å³/cell. For the formation energy, the calculation gives -18.17 kcal/mol of atoms.

a b c (Å): 8.645 8.645 8.645
angles (deg): 133.14 68.42 133.16
Sites, in units of the cell vectors:
Tb 0.250 0.250 0.000
Tb 0.750 0.750 0.000
Nd 0.192 0.212 0.404
Nd 0.308 0.712 0.021
Nd 0.692 0.288 0.979
Nd 0.808 0.788 0.596
Sm 0.250 0.750 0.500
Sm 0.750 0.250 0.500
Pt 0.112 0.765 0.876
Pt 0.388 0.265 0.653
Pt 0.612 0.735 0.347
Pt 0.888 0.235 0.124

Here is an optimized crystal structure of La5Dy2Th2 from Alexandria via LeMat-Bulk. Energies are from GGA-PBE.

Computed properties:
As for the calculated density: 7887 kg/m3. As for the calculated volume: 312 Å³/cell. For the formation energy, the calculation gives 3.22 kcal/mol of atoms.

a b c (Å): 6.278 6.293 8.918
angles (deg): 74.73 74.10 69.77
Sites, in units of the cell vectors:
La 0.000 0.000 0.000
La 0.218 0.664 0.701
La 0.342 0.791 0.294
La 0.658 0.209 0.706
La 0.782 0.336 0.299
Dy 0.333 0.346 0.104
Dy 0.667 0.654 0.896
Th 0.218 0.222 0.527
Th 0.782 0.778 0.473

Here is an optimized crystal structure of DyMgRu from Alexandria via LeMat-Bulk. Energies are from GGA-PBE.

Computed properties:
As for the calculated density: 6941 kg/m3. As for the calculated volume: 138 Å³/cell. For the formation energy, the calculation gives -1.39 kcal/mol of atoms.

a b c (Å): 4.680 4.680 6.289
angles (deg): 90.00 90.00 90.00
Sites, in units of the cell vectors:
Dy 0.000 0.500 0.000
Dy 0.500 0.000 0.500
Mg 0.000 0.500 0.500
Mg 0.500 0.000 0.000
Ru 0.000 0.000 0.250
Ru 0.000 0.000 0.750

Here is an optimized crystal structure of BaPaAs2 from Alexandria via LeMat-Bulk. Energies are from GGA-PBE.

Computed properties:
As for the calculated density: 7164 kg/m3. As for the calculated volume: 120 Å³/cell. The polymorph energy (0 for the lowest one) comes out at 0.000 eV/atom. For the formation energy, the calculation gives -25.27 kcal/mol of atoms.

a b c (Å): 7.873 7.873 7.873
angles (deg): 31.76 31.76 31.76
Sites, in units of the cell vectors:
Ba 0.000 0.000 0.000
Pa 0.500 0.500 0.500
As 0.234 0.234 0.234
As 0.766 0.766 0.766